First-principles (GGA-PBE) data for an optimized crystal structure of Tm3Ga7Pd2, as listed in Alexandria.

The raw total energy is -52.72 eV per cell. The energy of formation comes out at -14.852 kcal/mol of atoms. Its spin magnetization is 0.000 μB/f.u.

The structure belongs to space group P2/m (No. 10); the cell edges are 4.188, 4.135 and 13.486 Å and the angles 90.00°, 98.85° and 90.00°. Symmetry generates all atoms from Tm at (0.000, 0.000, 0.000), Tm at (0.317, 0.500, 0.638), Ga at (0.082, 0.500, 0.159), Ga at (0.225, 0.000, 0.450), Ga at (0.420, 0.000, 0.839), Ga at (0.500, 0.500, 0.000) and Pd at (0.133, 0.000, 0.266).